! La3CoPb | Alexandria via LeMat-Bulk | PBE | optimized geometry; values from VASP
! Formation energy (eV per atom): 0.5532
! Relative energy among the computed polymorphs (eV per atom): 0.948
! E_tot (eV/atom): -4.566
&SYSTEM
  ibrav = 0, nat = 10, ntyp = 3
/
ATOMIC_SPECIES
La 138.91 La.upf
Co 58.93 Co.upf
Pb 207.20 Pb.upf
CELL_PARAMETERS angstrom
-3.036 3.036 11.514
3.036 -3.036 11.514
3.036 3.036 -11.514
ATOMIC_POSITIONS crystal
La 0.217 0.217 0.000
La 0.373 0.137 0.764
La 0.373 0.610 0.236
La 0.390 0.627 0.764
La 0.783 0.783 0.000
La 0.863 0.627 0.236
Co 0.703 0.203 0.500
Co 0.797 0.297 0.500
Pb 0.250 0.750 0.500
Pb 0.500 0.500 0.000

=====

! SmYTm3Th | Alexandria via LeMat-Bulk | PBE | optimized geometry; values from VASP
! Formation energy (eV per atom): 0.1211
! E_tot (eV/atom): -5.215
&SYSTEM
  ibrav = 0, nat = 12, ntyp = 4
/
ATOMIC_SPECIES
Sm 150.36 Sm.upf
Y 88.91 Y.upf
Tm 168.93 Tm.upf
Th 232.04 Th.upf
CELL_PARAMETERS angstrom
2.898 -5.635 0.000
2.898 5.635 0.000
0.000 0.000 11.592
ATOMIC_POSITIONS crystal
Sm 0.005 0.995 0.750
Sm 0.995 0.005 0.250
Y 0.329 0.671 0.750
Y 0.671 0.329 0.250
Tm 0.177 0.823 0.006
Tm 0.177 0.823 0.494
Tm 0.335 0.665 0.250
Tm 0.665 0.335 0.750
Tm 0.823 0.177 0.506
Tm 0.823 0.177 0.994
Th 0.500 0.500 0.000
Th 0.500 0.500 0.500

=====

! VMoBr2 | Alexandria via LeMat-Bulk | PBE | optimized geometry; values from VASP
! Relative energy among the computed polymorphs (eV per atom): 0.000
! E_tot (eV/atom): -5.324
&SYSTEM
  ibrav = 0, nat = 12, ntyp = 3
/
ATOMIC_SPECIES
V 50.94 V.upf
Mo 95.94 Mo.upf
Br 79.90 Br.upf
CELL_PARAMETERS angstrom
3.139 0.000 0.000
-1.570 2.718 0.000
0.000 0.000 25.859
ATOMIC_POSITIONS crystal
V 0.000 0.000 0.000
V 0.333 0.667 0.667
V 0.667 0.333 0.333
Mo 0.000 0.000 0.500
Mo 0.333 0.667 0.167
Mo 0.667 0.333 0.833
Br 0.000 0.000 0.402
Br 0.000 0.000 0.598
Br 0.333 0.667 0.069
Br 0.333 0.667 0.264
Br 0.667 0.333 0.736
Br 0.667 0.333 0.931

=====

! CdFeBr2 | Alexandria via LeMat-Bulk | PBE | optimized geometry; values from VASP
! Relative energy among the computed polymorphs (eV per atom): 0.142
! E_tot (eV/atom): -3.157
&SYSTEM
  ibrav = 0, nat = 4, ntyp = 3
/
ATOMIC_SPECIES
Cd 112.41 Cd.upf
Fe 55.84 Fe.upf
Br 79.90 Br.upf
CELL_PARAMETERS angstrom
3.282 0.000 0.000
0.000 3.282 0.000
0.000 0.000 9.487
ATOMIC_POSITIONS crystal
Cd 0.000 0.000 0.000
Fe 0.000 0.000 0.500
Br 0.500 0.500 0.330
Br 0.500 0.500 0.670

=====

! NdHo2Tm3 | Alexandria via LeMat-Bulk | PBE | optimized geometry; values from VASP
! Formation energy (eV per atom): 0.0246
! Relative energy among the computed polymorphs (eV per atom): 0.000
! E_tot (eV/atom): -4.532
&SYSTEM
  ibrav = 0, nat = 12, ntyp = 3
/
ATOMIC_SPECIES
Nd 144.24 Nd.upf
Ho 164.93 Ho.upf
Tm 168.93 Tm.upf
CELL_PARAMETERS angstrom
8.652 -3.536 0.000
8.652 3.536 0.000
-0.031 0.000 6.106
ATOMIC_POSITIONS crystal
Nd 0.126 0.874 0.750
Nd 0.874 0.126 0.250
Ho 0.208 0.457 0.582
Ho 0.457 0.208 0.082
Ho 0.543 0.792 0.918
Ho 0.792 0.543 0.418
Tm 0.043 0.294 0.916
Tm 0.294 0.043 0.416
Tm 0.376 0.624 0.250
Tm 0.624 0.376 0.750
Tm 0.706 0.957 0.584
Tm 0.957 0.706 0.084

=====

! Pr4Cd2InGa | Alexandria via LeMat-Bulk | PBE | optimized geometry; values from VASP
! Formation energy (eV per atom): -0.4220
! E_tot (eV/atom): -3.761
&SYSTEM
  ibrav = 0, nat = 8, ntyp = 4
/
ATOMIC_SPECIES
Pr 140.91 Pr.upf
Cd 112.41 Cd.upf
In 114.82 In.upf
Ga 69.72 Ga.upf
CELL_PARAMETERS angstrom
2.725 1.573 8.895
-2.725 1.573 8.895
0.000 -3.147 8.895
ATOMIC_POSITIONS crystal
Pr 0.121 0.121 0.121
Pr 0.371 0.371 0.371
Pr 0.629 0.629 0.629
Pr 0.879 0.879 0.879
Cd 0.246 0.246 0.246
Cd 0.754 0.754 0.754
In 0.500 0.500 0.500
Ga 0.000 0.000 0.000

=====

! Ho7Ge2Te2 | Alexandria via LeMat-Bulk | PBE | optimized geometry; values from VASP
! E_tot (eV/atom): -4.688
&SYSTEM
  ibrav = 0, nat = 11, ntyp = 3
/
ATOMIC_SPECIES
Ho 164.93 Ho.upf
Ge 72.64 Ge.upf
Te 127.60 Te.upf
CELL_PARAMETERS angstrom
4.392 -5.265 0.000
4.392 5.265 0.000
0.000 0.000 7.054
ATOMIC_POSITIONS crystal
Ho 0.000 0.000 0.000
Ho 0.000 0.500 0.279
Ho 0.000 0.500 0.721
Ho 0.500 0.000 0.279
Ho 0.500 0.000 0.721
Ho 0.500 0.500 0.270
Ho 0.500 0.500 0.730
Ge 0.209 0.209 0.500
Ge 0.791 0.791 0.500
Te 0.281 0.719 0.000
Te 0.719 0.281 0.000

=====

! BeAgPt2 | Alexandria via LeMat-Bulk | PBE | optimized geometry; values from VASP
! Formation energy (eV per atom): -0.0244
! E_tot (eV/atom): -4.689
&SYSTEM
  ibrav = 0, nat = 8, ntyp = 3
/
ATOMIC_SPECIES
Be 9.01 Be.upf
Ag 107.87 Ag.upf
Pt 195.08 Pt.upf
CELL_PARAMETERS angstrom
3.939 0.000 0.000
0.000 3.939 0.000
0.000 0.000 7.628
ATOMIC_POSITIONS crystal
Be 0.000 0.000 0.000
Be 0.500 0.500 0.500
Ag 0.000 0.500 0.250
Ag 0.500 0.000 0.750
Pt 0.000 0.000 0.500
Pt 0.000 0.500 0.750
Pt 0.500 0.000 0.250
Pt 0.500 0.500 0.000